Computed, not measured: crystalline TaHPdRu2 at its relaxed geometry at the PBE-GGA level of DFT.

Unit cell a=4.0088 b=4.0088 c=3.8606 alpha=90.00 beta=90.00 gamma=90.00
Last column: nearest neighbours and their distance in Å.
Atoms (fractional coordinates):
Ru 0.5000 0.0000 0.0000  2 H 2.00
Ru 0.0000 0.5000 0.0000  2 H 2.00
H 0.0000 0.0000 0.0000  2 Pd 1.93, 4 Ru 2.00
Ta 0.5000 0.5000 0.5000  8 Ru 2.78, 4 Pd 2.83
Pd 0.0000 0.0000 0.5000  2 H 1.93

N(E_F) = 0.403 states/eV/atom
offset from the most stable computed form = 0.0000 eV/atom

Computed, not measured: crystalline ZrRuCS2 at its relaxed geometry at the PBE-GGA level of DFT.

Unit cell a=4.0993 b=4.3576 c=4.0993 alpha=90.00 beta=90.00 gamma=90.00
Last column: nearest neighbours and their distance in Å.
Atoms (fractional coordinates):
Zr 0.0000 0.5000 0.0000  2 C 2.18
S 0.0000 0.0000 0.5000  2 C 2.05
S 0.5000 0.0000 0.0000  2 C 2.05
C 0.0000 0.0000 0.0000  4 S 2.05, 2 Zr 2.18
Ru 0.5000 0.5000 0.5000  4 Zr 2.90, 8 S 2.99

N(E_F) = 0.555 states/eV/atom
E_form (uncorrected) = 0.8031 eV per atom

Computed, not measured: crystalline Ac3Si2Pd6 at its relaxed geometry at the PBE-GGA level of DFT.

Unit cell a=8.4575 b=8.4575 c=8.4575 alpha=109.47 beta=109.47 gamma=109.47
Last column: nearest neighbours and their distance in Å.
Atoms (fractional coordinates):
Ac 0.0000 0.2881 0.2881  8 Pd 3.18-3.19, 4 Si 3.47
Ac 0.2881 0.2881 0.0000  8 Pd 3.18-3.19, 4 Si 3.47
Ac 0.7119 0.7119 0.0000  8 Pd 3.18-3.19, 4 Si 3.47
Ac 0.2881 0.0000 0.2881  8 Pd 3.18-3.19, 4 Si 3.47
Ac 0.0000 0.7119 0.7119  8 Pd 3.18-3.19, 4 Si 3.47
Ac 0.7119 0.0000 0.7119  8 Pd 3.18-3.19, 4 Si 3.47
Pd 0.6762 0.3238 0.0000  2 Si 2.65, 4 Pd 2.83
Pd 0.3238 0.3238 0.6477  2 Si 2.65, 4 Pd 2.83
Pd 0.0000 0.6762 0.3238  2 Si 2.65, 4 Pd 2.83
Pd 0.3523 0.6762 0.6762  2 Si 2.65, 4 Pd 2.83
Pd 0.6477 0.3238 0.3238  2 Si 2.65, 4 Pd 2.83
Pd 0.3238 0.0000 0.6762  2 Si 2.65, 4 Pd 2.83
Pd 0.6762 0.3523 0.6762  2 Si 2.65, 4 Pd 2.83
Pd 0.3238 0.6762 0.0000  2 Si 2.65, 4 Pd 2.83
Pd 0.0000 0.3238 0.6762  2 Si 2.65, 4 Pd 2.83
Pd 0.6762 0.6762 0.3523  2 Si 2.65, 4 Pd 2.83
Pd 0.3238 0.6477 0.3238  2 Si 2.65, 4 Pd 2.83
Pd 0.6762 0.0000 0.3238  2 Si 2.65, 4 Pd 2.83
Si 0.0000 0.0000 0.5000  6 Pd 2.65
Si 0.0000 0.5000 0.0000  6 Pd 2.65
Si 0.5000 0.5000 0.5000  6 Pd 2.65
Si 0.5000 0.0000 0.0000  6 Pd 2.65

N(E_F) = 0.385 states/eV/atom
E_form (uncorrected) = -0.7732 eV per atom

Computed, not measured: crystalline SbWSe2 at its relaxed geometry at the PBE-GGA level of DFT.

Unit cell a=4.3127 b=4.3127 c=6.7268 alpha=86.01 beta=86.01 gamma=44.29
Last column: nearest neighbours and their distance in Å.
Atoms (fractional coordinates):
Se 0.0391 0.0391 0.9345  3 W 2.59-2.70, 1 Sb 2.81
Se 0.4609 0.4609 0.5655  3 W 2.59-2.70, 1 Sb 2.81
W 0.7500 0.7500 0.7500  6 Se 2.59-2.70
Sb 0.2500 0.2500 0.2500  2 Se 2.81

N(E_F) = 0.560 states/eV/atom
E_form (uncorrected) = 0.2836 eV per atom

Computed, not measured: crystalline Ba2Ca2Sb at its relaxed geometry at the PBE-GGA level of DFT.

Unit cell a=8.4797 b=8.4797 c=6.1706 alpha=90.00 beta=90.00 gamma=90.00
Last column: nearest neighbours and their distance in Å.
Atoms (fractional coordinates):
Ba 0.3326 0.1674 0.5000  6 Ca 3.76-4.12, 1 Ba 4.02
Ba 0.1674 0.6674 0.5000  6 Ca 3.76-4.12, 1 Ba 4.02
Ba 0.6674 0.8326 0.5000  6 Ca 3.76-4.12, 1 Ba 4.02
Ba 0.8326 0.3326 0.5000  6 Ca 3.76-4.12, 1 Ba 4.02
Ca 0.1537 0.3463 0.0000  2 Sb 3.21
Ca 0.6537 0.1537 0.0000  2 Sb 3.21
Ca 0.3463 0.8463 0.0000  2 Sb 3.21
Ca 0.8463 0.6537 0.0000  2 Sb 3.21
Sb 0.0000 0.0000 0.0000  4 Ca 3.21
Sb 0.5000 0.5000 0.0000  4 Ca 3.21

N(E_F) = 1.178 states/eV/atom
E_form (uncorrected) = -0.3043 eV per atom
offset from the most stable computed form = 0.0000 eV/atom

Computed, not measured: crystalline Sm3Si4Ag2 at its relaxed geometry at the PBE-GGA level of DFT.

Unit cell a=4.2790 b=5.8791 c=8.3725 alpha=102.19 beta=90.00 gamma=111.34
Last column: nearest neighbours and their distance in Å.
Atoms (fractional coordinates):
Ag 0.6173 0.2347 0.2824  3 Si 2.48-2.49
Ag 0.3827 0.7653 0.7176  3 Si 2.48-2.49
Si 0.9431 0.8862 0.6047  1 Si 2.37, 2 Ag 2.49
Si 0.2785 0.5570 0.9513  2 Si 2.42, 1 Ag 2.48
Si 0.7215 0.4430 0.0487  2 Si 2.42, 1 Ag 2.48
Si 0.0569 0.1138 0.3953  1 Si 2.37, 2 Ag 2.49
Sm 0.3396 0.6791 0.3265  8 Si 3.06-3.28, 4 Ag 3.15-3.20
Sm 0.6604 0.3209 0.6735  8 Si 3.06-3.28, 4 Ag 3.15-3.20
Sm 0.0000 0.0000 0.0000  8 Si 3.17-3.23, 4 Ag 3.23

N(E_F) = 0.444 states/eV/atom
E_form (uncorrected) = -0.6083 eV per atom

Computed, not measured: crystalline LaNb3Te at its relaxed geometry at the PBE-GGA level of DFT.

Unit cell a=5.1288 b=5.1288 c=5.1288 alpha=90.00 beta=90.00 gamma=90.00
Last column: nearest neighbours and their distance in Å.
Atoms (fractional coordinates):
Te 0.0000 0.0000 0.0000  6 Nb 2.56
Nb 0.0000 0.5000 0.0000  2 Te 2.56
Nb 0.0000 0.0000 0.5000  2 Te 2.56
Nb 0.5000 0.0000 0.0000  2 Te 2.56
La 0.5000 0.5000 0.5000  12 Nb 3.63

N(E_F) = 1.722 states/eV/atom
E_form (uncorrected) = 0.8939 eV per atom
offset from the most stable computed form = 0.0000 eV/atom

Computed, not measured: crystalline Ce4ZrPa3N8 at its relaxed geometry at the PBE-GGA level of DFT.

Unit cell a=6.9930 b=7.0245 c=6.9930 alpha=119.85 beta=120.00 gamma=90.00
Last column: nearest neighbours and their distance in Å.
Atoms (fractional coordinates):
N 0.7624 0.2775 0.5247  1 Zr 2.36, 2 Pa 2.41, 3 Ce 2.56-2.60
N 0.2528 0.2775 0.0151  1 Zr 2.36, 2 Pa 2.41, 3 Ce 2.56-2.60
N 0.7624 0.2775 0.0151  1 Zr 2.36, 2 Pa 2.41, 3 Ce 2.56-2.60
N 0.2376 0.7225 0.4753  1 Zr 2.36, 2 Pa 2.41, 3 Ce 2.56-2.60
N 0.7425 0.7275 0.4850  3 Pa 2.41, 3 Ce 2.56
N 0.7472 0.7225 0.9849  1 Zr 2.36, 2 Pa 2.41, 3 Ce 2.56-2.60
N 0.2376 0.7225 0.9849  1 Zr 2.36, 2 Pa 2.41, 3 Ce 2.56-2.60
N 0.2575 0.2725 0.5150  3 Pa 2.41, 3 Ce 2.56
Ce 0.5000 0.0000 0.5000  6 N 2.56
Ce 0.0000 0.0000 0.0000  6 N 2.56
Ce 0.0000 0.0000 0.5000  6 N 2.56
Ce 0.5000 0.0000 0.0000  6 N 2.60
Pa 0.5000 0.5000 0.0000  6 N 2.41
Pa 0.5000 0.5000 0.5000  6 N 2.41
Pa 0.0000 0.5000 0.5000  6 N 2.41
Zr 0.0000 0.5000 0.0000  6 N 2.36

N(E_F) = 0.690 states/eV/atom
E_form (uncorrected) = -1.6296 eV per atom

What did the fourth record say?
Computed, not measured: crystalline SbWSe2 at its relaxed geometry at the PBE-GGA level of DFT.

Unit cell a=4.3127 b=4.3127 c=6.7268 alpha=86.01 beta=86.01 gamma=44.29
Last column: nearest neighbours and their distance in Å.
Atoms (fractional coordinates):
Se 0.0391 0.0391 0.9345  3 W 2.59-2.70, 1 Sb 2.81
Se 0.4609 0.4609 0.5655  3 W 2.59-2.70, 1 Sb 2.81
W 0.7500 0.7500 0.7500  6 Se 2.59-2.70
Sb 0.2500 0.2500 0.2500  2 Se 2.81

N(E_F) = 0.560 states/eV/atom
E_form (uncorrected) = 0.2836 eV per atom

> What is the formula in the seventh record?

LaNb3Te